Record 1
Here is YSc2Ag at its PBEsol-relaxed geometry from Alexandria via LeMat-Bulk. Energies are from SCAN.

The calculation puts the energy above the lowest structure with this stoichiometry at 234 meV per atom. The calculated formation energy is 0.07 eV/atom.

It has space group Fm-3m (No. 225), with a = 7.094 Å, b = 7.094 Å, c = 7.094 Å, α = 90.00°, β = 90.00° and γ = 90.00°. The distinct sites, in fractional coordinates, are Y at (0.000, 0.000, 0.000), Sc at (0.250, 0.250, 0.250) and Ag at (0.000, 0.000, 0.500).

---

Record 2
Here is TlPOs2 at its PBEsol-relaxed geometry from Alexandria via LeMat-Bulk. Energies are from SCAN.

The calculation puts the energy above the lowest structure with this stoichiometry at 0 meV per atom. The calculated formation energy is 0.71 eV/atom.

It has space group Cmmm (No. 65), with a = 2.900 Å, b = 5.151 Å, c = 8.627 Å, α = 90.00°, β = 90.00° and γ = 90.00°. The distinct sites, in fractional coordinates, are Tl at (0.000, 0.000, 0.000), P at (0.000, 0.000, 0.500) and Os at (0.000, 0.500, 0.296).

---

Record 3
Here is CsIn2Sn2 at its PBEsol-relaxed geometry from Alexandria via LeMat-Bulk. Energies are from SCAN.

The calculated formation energy is -0.26 eV/atom.

It has space group I4/mmm (No. 139), with a = 5.297 Å, b = 5.297 Å, c = 11.377 Å, α = 90.00°, β = 90.00° and γ = 90.00°. The distinct sites, in fractional coordinates, are Cs at (0.000, 0.000, 0.000), In at (0.000, 0.500, 0.250) and Sn at (0.000, 0.000, 0.373).

---

no.,DFT total energy (eV per atom)
1,-21.847
2,-55.923
3,-35.546